Entry 1:
First-principles (PBE) data for a relaxed structure of Dy5Te5N, as listed in Alexandria.

The structure in POSCAR format:
```
Dy5Te5N
1.0
6.0038 0.0000 0.0000
-3.0019 6.5909 -0.1296
0.0000 -2.6230 7.9404
Te Dy N
5 5 1
Cartesian
3.0019 -0.0472 6.3745
3.0019 1.4595 2.6346
0.0000 -1.3115 3.9702
0.0000 4.0151 1.4362
0.0000 2.5084 5.1762
0.0000 -0.3119 6.8072
0.0000 1.0703 2.1536
3.0019 4.2798 1.0035
3.0019 2.8975 5.6572
3.0019 0.0000 0.0000
0.0000 0.0000 0.0000
```

Summary:
**V**: 28.38 A^3/atom
**Formation energy without anion corrections**: -1.2979 eV per atom

=====

Entry 2:
First-principles (PBE) data for a relaxed structure of CaBe2Si, as listed in Alexandria.

The structure in POSCAR format:
```
CaBe2Si
1.0
-1.6654 5.0339 1.9368
-1.2780 2.6139 4.8372
1.7906 4.2257 3.2866
Ca Si Be
1 1 2
Cartesian
-0.2882 2.9684 2.5151
-0.8646 8.9052 7.5454
-0.5156 5.3101 4.4993
-0.0608 0.6267 0.5310
```

Summary:
**V**: 16.24 A^3/atom
**Formation energy without anion corrections**: -0.0186 eV per atom